3
Lattice="3.327 0.000 0.000 0.000 3.327 0.000 -1.663 -1.663 3.616" Properties=species:S:1:pos:R:3 comment="PmHF, optimized geometry, DFT PBE-GGA" sg="I4mm, No. 107" volume_a3_per_atom=13.34 crystal_system=tetragonal final_energy_ev_per_atom=-5.071 pbc="T T T"
Pm 1.663 1.663 1.128
H 0.000 0.000 0.099
F 0.000 0.000 2.389